[1]
This record from Alexandria via LeMat-Bulk describes crystalline Mn2OsBr2 at its relaxed geometry. The functional is PBE.

Polymorph energy (0 for the lowest one), meV/atom: 569
Total DFT energy (no corrections), Ry per atom: -0.3778
DOS at the Fermi energy, states/eV/cell: 19.61
Formation energy without anion corrections, eV per formula unit: 7.211
SG: I4/mmm, No. 139

Unit cell a=3.9501 b=3.9501 c=10.5480 alpha=90.00 beta=90.00 gamma=90.00
Fractional coordinates of all 10 atoms:
Mn (0.0000, 0.0000, 0.0963)
Mn (0.0000, 0.0000, 0.9037)
Mn (0.5000, 0.5000, 0.4037)
Mn (0.5000, 0.5000, 0.5963)
Os (0.0000, 0.0000, 0.5000)
Os (0.5000, 0.5000, 0.0000)
Br (0.0000, 0.5000, 0.2500)
Br (0.0000, 0.5000, 0.7500)
Br (0.5000, 0.0000, 0.2500)
Br (0.5000, 0.0000, 0.7500)

[2]
This record from Alexandria via LeMat-Bulk describes crystalline Sn2I3Br at its relaxed geometry. The functional is PBE.

Total DFT energy (no corrections), Ry per atom: -0.2174
DOS at the Fermi energy, states/eV/cell: 0.00
Formation energy without anion corrections, eV per formula unit: -3.415
SG: P-3m1, No. 164

Unit cell a=9.0327 b=9.0327 c=7.4967 alpha=90.00 beta=90.00 gamma=120.00
Fractional coordinates of all 12 atoms:
Sn (0.0000, 0.0000, 0.0000)
Sn (0.0000, 0.5000, 0.0000)
Sn (0.5000, 0.0000, 0.0000)
Sn (0.5000, 0.5000, 0.0000)
I (0.1658, 0.3316, 0.7482)
I (0.1658, 0.8342, 0.7482)
I (0.3316, 0.1658, 0.2518)
I (0.6684, 0.8342, 0.7482)
I (0.8342, 0.1658, 0.2518)
I (0.8342, 0.6684, 0.2518)
Br (0.3333, 0.6667, 0.2085)
Br (0.6667, 0.3333, 0.7915)

[3]
This record from Alexandria via LeMat-Bulk describes crystalline Sm3Ge4Au2 at its relaxed geometry. The functional is PBE.

Formation enthalpy at 0 K, eV per atom: -0.77
Total DFT energy (no corrections), Ry per atom: -0.3764
DOS at the Fermi energy, states/eV/cell: 4.12
SG: C2/m, No. 12

Unit cell a=5.9407 b=5.9407 c=8.4825 alpha=102.37 beta=102.37 gamma=43.97
Fractional coordinates of all 9 atoms:
Sm (0.0000, 0.0000, 0.0000)
Sm (0.3373, 0.3373, 0.3279)
Sm (0.6627, 0.6627, 0.6721)
Ge (0.0511, 0.0511, 0.3830)
Ge (0.2846, 0.2846, 0.9560)
Ge (0.7154, 0.7154, 0.0440)
Ge (0.9489, 0.9489, 0.6170)
Au (0.3804, 0.3804, 0.7129)
Au (0.6196, 0.6196, 0.2871)

[4]
This record from Alexandria via LeMat-Bulk describes crystalline LaZn8Ga2Cu at its relaxed geometry. The functional is PBE.

Formation enthalpy at 0 K, eV per atom: -0.12
Total DFT energy (no corrections), Ry per atom: -0.1633
DOS at the Fermi energy, states/eV/cell: 3.49
SG: C2/m, No. 12

Unit cell a=4.4953 b=4.4953 c=11.7046 alpha=99.04 beta=99.04 gamma=66.92
Fractional coordinates of all 12 atoms:
La (0.0000, 0.0000, 0.0000)
Zn (0.1947, 0.7005, 0.6776)
Zn (0.2520, 0.2520, 0.8146)
Zn (0.2995, 0.8053, 0.3224)
Zn (0.3282, 0.3282, 0.4623)
Zn (0.6718, 0.6718, 0.5377)
Zn (0.7005, 0.1947, 0.6776)
Zn (0.7480, 0.7480, 0.1854)
Zn (0.8053, 0.2995, 0.3224)
Ga (0.3793, 0.3793, 0.1417)
Ga (0.6207, 0.6207, 0.8583)
Cu (0.0000, 0.0000, 0.5000)

[5]
This record from Alexandria via LeMat-Bulk describes crystalline Zn2InSn2 at its relaxed geometry. The functional is PBE.

Polymorph energy (0 for the lowest one), meV/atom: 36
Formation enthalpy at 0 K, eV per atom: 0.13
Total DFT energy (no corrections), Ry per atom: -0.1860
DOS at the Fermi energy, states/eV/cell: 2.89
SG: P4/mbm, No. 127

Unit cell a=8.5769 b=8.5769 c=3.1873 alpha=90.00 beta=90.00 gamma=90.00
Fractional coordinates of all 10 atoms:
Zn (0.1400, 0.3600, 0.0000)
Zn (0.3600, 0.8600, 0.0000)
Zn (0.6400, 0.1400, 0.0000)
Zn (0.8600, 0.6400, 0.0000)
In (0.0000, 0.0000, 0.5000)
In (0.5000, 0.5000, 0.5000)
Sn (0.1562, 0.6562, 0.5000)
Sn (0.3438, 0.1562, 0.5000)
Sn (0.6562, 0.8438, 0.5000)
Sn (0.8438, 0.3438, 0.5000)

[6]
This record from Alexandria via LeMat-Bulk describes crystalline CaLu2Th at its relaxed geometry. The functional is PBE.

Polymorph energy (0 for the lowest one), meV/atom: 137
Formation enthalpy at 0 K, eV per atom: 0.19
Total DFT energy (no corrections), Ry per atom: -0.3252
DOS at the Fermi energy, states/eV/cell: 7.09
SG: P4/mmm, No. 123

Unit cell a=5.1573 b=5.1573 c=4.8240 alpha=90.00 beta=90.00 gamma=90.00
Fractional coordinates of all 4 atoms:
Ca (0.0000, 0.0000, 0.0000)
Lu (0.0000, 0.5000, 0.5000)
Lu (0.5000, 0.0000, 0.5000)
Th (0.5000, 0.5000, 0.0000)

[7]
This record from Alexandria via LeMat-Bulk describes crystalline Dy2Y3Cd2 at its relaxed geometry. The functional is PBE.

Polymorph energy (0 for the lowest one), meV/atom: 0
Formation enthalpy at 0 K, eV per atom: -0.15
Total DFT energy (no corrections), Ry per atom: -0.3308
DOS at the Fermi energy, states/eV/cell: 16.63
SG: C2/m, No. 12

Unit cell a=9.3360 b=5.3952 c=8.5527 alpha=90.00 beta=111.39 gamma=90.00
Fractional coordinates of all 14 atoms:
Dy (0.0745, 0.0000, 0.2239)
Dy (0.4255, 0.5000, 0.7761)
Dy (0.5745, 0.5000, 0.2239)
Dy (0.9255, 0.0000, 0.7761)
Y (0.0000, 0.5000, 0.5000)
Y (0.1570, 0.5000, 0.9703)
Y (0.3430, 0.0000, 0.0297)
Y (0.5000, 0.0000, 0.5000)
Y (0.6570, 0.0000, 0.9703)
Y (0.8430, 0.5000, 0.0297)
Cd (0.2120, 0.0000, 0.6363)
Cd (0.2880, 0.5000, 0.3637)
Cd (0.7120, 0.5000, 0.6363)
Cd (0.7880, 0.0000, 0.3637)

[8]
This record from Alexandria via LeMat-Bulk describes crystalline DyMn4S8 at its relaxed geometry. The functional is PBE.

Total DFT energy (no corrections), Ry per atom: -0.4787
DOS at the Fermi energy, states/eV/cell: 9.57
Formation energy without anion corrections, eV per formula unit: -10.365
SG: R-3m, No. 166

Unit cell a=7.5116 b=7.5116 c=7.5116 alpha=54.45 beta=54.45 gamma=54.45
Fractional coordinates of all 13 atoms:
Dy (0.0000, 0.0000, 0.0000)
Mn (0.0000, 0.0000, 0.5000)
Mn (0.0000, 0.5000, 0.0000)
Mn (0.5000, 0.0000, 0.0000)
Mn (0.5000, 0.5000, 0.5000)
S (0.2300, 0.7384, 0.7384)
S (0.2330, 0.2330, 0.2330)
S (0.2616, 0.2616, 0.7700)
S (0.2616, 0.7700, 0.2616)
S (0.7384, 0.2300, 0.7384)
S (0.7384, 0.7384, 0.2300)
S (0.7670, 0.7670, 0.7670)
S (0.7700, 0.2616, 0.2616)

[9]
This record from Alexandria via LeMat-Bulk describes crystalline CaH3Pt at its relaxed geometry. The functional is PBE.

Total DFT energy (no corrections), Ry per atom: -0.2946
DOS at the Fermi energy, states/eV/cell: 0.65
SG: R-3m, No. 166

Unit cell a=5.9237 b=5.9237 c=5.9237 alpha=49.78 beta=49.78 gamma=49.78
Fractional coordinates of all 10 atoms:
Ca (0.1039, 0.1039, 0.1039)
Ca (0.8961, 0.8961, 0.8961)
H (0.0985, 0.5741, 0.5741)
H (0.4259, 0.4259, 0.9015)
H (0.4259, 0.9015, 0.4259)
H (0.5741, 0.0985, 0.5741)
H (0.5741, 0.5741, 0.0985)
H (0.9015, 0.4259, 0.4259)
Pt (0.3007, 0.3007, 0.3007)
Pt (0.6993, 0.6993, 0.6993)

[10]
This record from Alexandria via LeMat-Bulk describes crystalline NpMnGaPt at its relaxed geometry. The functional is PBE.

Formation enthalpy at 0 K, eV per atom: 0.09
Total DFT energy (no corrections), Ry per atom: -0.5665
DOS at the Fermi energy, states/eV/cell: 51.71
SG: F-43m, No. 216

Unit cell a=6.6285 b=6.6285 c=6.6285 alpha=90.00 beta=90.00 gamma=90.00
Fractional coordinates of all 16 atoms:
Np (0.0000, 0.0000, 0.0000)
Np (0.0000, 0.5000, 0.5000)
Np (0.5000, 0.0000, 0.5000)
Np (0.5000, 0.5000, 0.0000)
Mn (0.2500, 0.2500, 0.2500)
Mn (0.2500, 0.7500, 0.7500)
Mn (0.7500, 0.2500, 0.7500)
Mn (0.7500, 0.7500, 0.2500)
Ga (0.2500, 0.2500, 0.7500)
Ga (0.2500, 0.7500, 0.2500)
Ga (0.7500, 0.2500, 0.2500)
Ga (0.7500, 0.7500, 0.7500)
Pt (0.0000, 0.0000, 0.5000)
Pt (0.0000, 0.5000, 0.0000)
Pt (0.5000, 0.0000, 0.0000)
Pt (0.5000, 0.5000, 0.5000)

[11]
This record from Alexandria via LeMat-Bulk describes crystalline Ce7BiSb3 at its relaxed geometry. The functional is PBE.

Total DFT energy (no corrections), Ry per atom: -0.4297
DOS at the Fermi energy, states/eV/cell: 31.36
Formation energy without anion corrections, eV per formula unit: -6.524
SG: Immm, No. 71

Unit cell a=8.2023 b=8.2023 c=8.2023 alpha=136.33 beta=112.04 gamma=84.34
Fractional coordinates of all 11 atoms:
Ce (0.0000, 0.0000, 0.0000)
Ce (0.1147, 0.7581, 0.3565)
Ce (0.3558, 0.5000, 0.8558)
Ce (0.4016, 0.7581, 0.6435)
Ce (0.5984, 0.2419, 0.3565)
Ce (0.6442, 0.5000, 0.1442)
Ce (0.8853, 0.2419, 0.6435)
Bi (0.0000, 0.5000, 0.5000)
Sb (0.2605, 0.2605, 0.0000)
Sb (0.5000, 0.0000, 0.5000)
Sb (0.7395, 0.7395, 0.0000)

[12]
This record from Alexandria via LeMat-Bulk describes crystalline CaHgSbI2 at its relaxed geometry. The functional is PBE.

Polymorph energy (0 for the lowest one), meV/atom: 0
Total DFT energy (no corrections), Ry per atom: -0.1613
DOS at the Fermi energy, states/eV/cell: 4.52
Formation energy without anion corrections, eV per formula unit: -1.449
SG: P4/mmm, No. 123

Unit cell a=6.0355 b=6.0355 c=6.4216 alpha=90.00 beta=90.00 gamma=90.00
Fractional coordinates of all 5 atoms:
Ca (0.0000, 0.0000, 0.0000)
Hg (0.5000, 0.5000, 0.5000)
Sb (0.0000, 0.0000, 0.5000)
I (0.0000, 0.5000, 0.0000)
I (0.5000, 0.0000, 0.0000)

[13]
This record from Alexandria via LeMat-Bulk describes crystalline LiTeOs at its relaxed geometry. The functional is PBE.

Polymorph energy (0 for the lowest one), meV/atom: 0
Total DFT energy (no corrections), Ry per atom: -0.3834
DOS at the Fermi energy, states/eV/cell: 2.16
Formation energy without anion corrections, eV per formula unit: 0.635
SG: Imm2, No. 44

Unit cell a=3.2116 b=3.6685 c=8.1656 alpha=90.00 beta=90.00 gamma=90.00
Fractional coordinates of all 6 atoms:
Li (0.0000, 0.0000, 0.0000)
Li (0.5000, 0.5000, 0.5000)
Te (0.0000, 0.0000, 0.3240)
Te (0.5000, 0.5000, 0.8240)
Os (0.0000, 0.0000, 0.6699)
Os (0.5000, 0.5000, 0.1699)

[14]
This record from Alexandria via LeMat-Bulk describes crystalline BaMgZn2Au4 at its relaxed geometry. The functional is PBE.

Formation enthalpy at 0 K, eV per atom: -0.45
Total DFT energy (no corrections), Ry per atom: -0.2089
DOS at the Fermi energy, states/eV/cell: 3.74
SG: R-3m, No. 166

Unit cell a=9.9734 b=9.9734 c=9.9734 alpha=26.43 beta=26.43 gamma=26.43
Fractional coordinates of all 8 atoms:
Ba (0.0000, 0.0000, 0.0000)
Mg (0.5000, 0.5000, 0.5000)
Zn (0.2353, 0.2353, 0.2353)
Zn (0.7647, 0.7647, 0.7647)
Au (0.1348, 0.1348, 0.1348)
Au (0.4066, 0.4066, 0.4066)
Au (0.5934, 0.5934, 0.5934)
Au (0.8652, 0.8652, 0.8652)

[15]
This record from Alexandria via LeMat-Bulk describes crystalline TaCr2Si at its relaxed geometry. The functional is PBE.

Total DFT energy (no corrections), Ry per atom: -0.6557
DOS at the Fermi energy, states/eV/cell: 13.61
Formation energy without anion corrections, eV per formula unit: 0.838
SG: R3m, No. 160

Unit cell a=2.8177 b=2.8177 c=24.5698 alpha=90.00 beta=90.00 gamma=120.00
Fractional coordinates of all 12 atoms:
Ta (0.0000, 0.0000, 0.0000)
Ta (0.3333, 0.6667, 0.6667)
Ta (0.6667, 0.3333, 0.3333)
Cr (0.0000, 0.0000, 0.2397)
Cr (0.0000, 0.0000, 0.5040)
Cr (0.3333, 0.6667, 0.1707)
Cr (0.3333, 0.6667, 0.9064)
Cr (0.6667, 0.3333, 0.5730)
Cr (0.6667, 0.3333, 0.8373)
Si (0.0000, 0.0000, 0.7585)
Si (0.3333, 0.6667, 0.4252)
Si (0.6667, 0.3333, 0.0919)

[16]
This record from Alexandria via LeMat-Bulk describes crystalline LaPtO2 at its relaxed geometry. The functional is PBE.

Total DFT energy (no corrections), Ry per atom: -0.4828
DOS at the Fermi energy, states/eV/cell: 12.08
Formation energy without anion corrections, eV per formula unit: -5.390
SG: Fm-3m, No. 225

Unit cell a=6.1093 b=6.1093 c=6.1093 alpha=90.00 beta=90.00 gamma=90.00
Fractional coordinates of all 16 atoms:
La (0.0000, 0.0000, 0.0000)
La (0.0000, 0.5000, 0.5000)
La (0.5000, 0.0000, 0.5000)
La (0.5000, 0.5000, 0.0000)
Pt (0.0000, 0.0000, 0.5000)
Pt (0.0000, 0.5000, 0.0000)
Pt (0.5000, 0.0000, 0.0000)
Pt (0.5000, 0.5000, 0.5000)
O (0.2500, 0.2500, 0.2500)
O (0.2500, 0.2500, 0.7500)
O (0.2500, 0.7500, 0.2500)
O (0.2500, 0.7500, 0.7500)
O (0.7500, 0.2500, 0.2500)
O (0.7500, 0.2500, 0.7500)
O (0.7500, 0.7500, 0.2500)
O (0.7500, 0.7500, 0.7500)

[17]
This record from Alexandria via LeMat-Bulk describes crystalline MgMo2Pb at its relaxed geometry. The functional is PBE.

Polymorph energy (0 for the lowest one), meV/atom: 223
Formation enthalpy at 0 K, eV per atom: 0.51
Total DFT energy (no corrections), Ry per atom: -0.4581
DOS at the Fermi energy, states/eV/cell: 2.29
SG: P2/m, No. 10

Unit cell a=2.9426 b=4.7741 c=5.4867 alpha=90.00 beta=96.95 gamma=90.00
Fractional coordinates of all 4 atoms:
Mg (0.0000, 0.0000, 0.0000)
Mo (0.3246, 0.5000, 0.7848)
Mo (0.6754, 0.5000, 0.2152)
Pb (0.5000, 0.0000, 0.5000)

[18]
This record from Alexandria via LeMat-Bulk describes crystalline TaIrOs at its relaxed geometry. The functional is PBE.

Polymorph energy (0 for the lowest one), meV/atom: 170
Formation enthalpy at 0 K, eV per atom: -0.17
Total DFT energy (no corrections), Ry per atom: -0.7953
DOS at the Fermi energy, states/eV/cell: 6.61
SG: I4mm, No. 107

Unit cell a=2.7820 b=2.7820 c=12.0788 alpha=90.00 beta=90.00 gamma=90.00
Fractional coordinates of all 6 atoms:
Ta (0.0000, 0.0000, 0.0000)
Ta (0.5000, 0.5000, 0.5000)
Ir (0.0000, 0.0000, 0.3279)
Ir (0.5000, 0.5000, 0.8279)
Os (0.0000, 0.0000, 0.6730)
Os (0.5000, 0.5000, 0.1730)

For reference, total moment by record: 0.974, 0.000, 0.000, 0.000, 0.000, 0.001, 0.000, 11.651, 0.000, 8.405, 5.882, 1.821, 0.000, 0.000, 0.001, 1.000, 0.000, 0.000 μB/f.u..